1.
Density functional theory data (GGA-PBE) for Mg2B10Ir after structural relaxation.

Summary:
Space group: Pbam (55)
ρ: 4.29 g/cm3
Density of states at the Fermi level: 5.03 states/eV/cell
Electronic total energy: -6.13 eV per atom
ΔH_f (0 K): -0.071 eV/atom
Spin magnetization: 0.00 μB/atom

a b c (Å): 5.6869 11.3762 4.1707
angles (deg): 90.00 90.00 90.00
Atoms (fractional coordinates):
Mg1 0.2384 0.1135 0.0000
Mg2 0.2616 0.6135 0.0000
Mg3 0.7384 0.3865 0.0000
Mg4 0.7616 0.8865 0.0000
B1 0.0536 0.8066 0.5000
B2 0.1154 0.4557 0.5000
B3 0.1405 0.3019 0.5000
B4 0.2225 0.8791 0.1980
B5 0.2225 0.8791 0.8020
B6 0.2775 0.3791 0.1980
B7 0.2775 0.3791 0.8020
B8 0.3595 0.8019 0.5000
B9 0.3846 0.9557 0.5000
B10 0.4464 0.3066 0.5000
B11 0.5536 0.6934 0.5000
B12 0.6154 0.0443 0.5000
B13 0.6405 0.1981 0.5000
B14 0.7225 0.6209 0.1980
B15 0.7225 0.6209 0.8020
B16 0.7775 0.1209 0.1980
B17 0.7775 0.1209 0.8020
B18 0.8595 0.6981 0.5000
B19 0.8846 0.5443 0.5000
B20 0.9464 0.1934 0.5000
Ir1 0.0000 0.0000 0.5000
Ir2 0.5000 0.5000 0.5000

=====

2.
Density functional theory data (GGA-PBE) for TaTiPt2 after structural relaxation.

Summary:
Space group: P4/mmm (123)
ρ: 16.11 g/cm3
Density of states at the Fermi level: 3.61 states/eV/cell
Electronic total energy: -8.71 eV per atom
ΔH_f (0 K): -0.757 eV/atom
Spin magnetization: 0.00 μB/atom

a b c (Å): 3.9698 3.9698 4.0486
angles (deg): 90.00 90.00 90.00
Atoms (fractional coordinates):
Ta1 0.0000 0.0000 0.0000
Ti1 0.5000 0.5000 0.0000
Pt1 0.0000 0.5000 0.5000
Pt2 0.5000 0.0000 0.5000

=====

3.
Density functional theory data (GGA-PBE) for Ca6Ag2Au after structural relaxation.

Summary:
Space group: Immm (71)
ρ: 3.95 g/cm3
Density of states at the Fermi level: 13.49 states/eV/cell
Electronic total energy: -2.65 eV per atom
ΔH_f (0 K): -0.318 eV/atom
Spin magnetization: 0.00 μB/atom

a b c (Å): 8.9464 8.9464 8.9464
angles (deg): 112.11 110.40 105.96
Atoms (fractional coordinates):
Ca1 0.0586 0.2486 0.8100
Ca2 0.1744 0.2684 0.4428
Ca3 0.1744 0.7316 0.9061
Ca4 0.3332 0.0396 0.7064
Ca5 0.3332 0.6268 0.2936
Ca6 0.4386 0.2486 0.1900
Ca7 0.5614 0.7514 0.8100
Ca8 0.6668 0.3732 0.7064
Ca9 0.6668 0.9604 0.2936
Ca10 0.8256 0.2684 0.0939
Ca11 0.8256 0.7316 0.5572
Ca12 0.9414 0.7514 0.1900
Ag1 0.1294 0.6294 0.5000
Ag2 0.3483 0.0000 0.3483
Ag3 0.6517 0.0000 0.6517
Ag4 0.8706 0.3706 0.5000
Au1 0.0000 0.0000 0.0000
Au2 0.5000 0.5000 0.0000

=====

4.
Density functional theory data (GGA-PBE) for La2VPt after structural relaxation.

Summary:
Space group: Fm-3m (225)
ρ: 8.65 g/cm3
Distance to the lowest polymorph of the same formula: 0.00 kJ per mole of atoms
Density of states at the Fermi level: 10.36 states/eV/cell
Electronic total energy: -6.46 eV per atom
ΔH_f (0 K): -0.202 eV/atom
Spin magnetization: 0.87 μB/atom

a b c (Å): 7.3815 7.3815 7.3815
angles (deg): 90.00 90.00 90.00
Atoms (fractional coordinates):
La1 0.2500 0.2500 0.2500
La2 0.2500 0.2500 0.7500
La3 0.2500 0.7500 0.2500
La4 0.2500 0.7500 0.7500
La5 0.7500 0.2500 0.2500
La6 0.7500 0.2500 0.7500
La7 0.7500 0.7500 0.2500
La8 0.7500 0.7500 0.7500
V1 0.0000 0.0000 0.0000
V2 0.0000 0.5000 0.5000
V3 0.5000 0.0000 0.5000
V4 0.5000 0.5000 0.0000
Pt1 0.0000 0.0000 0.5000
Pt2 0.0000 0.5000 0.0000
Pt3 0.5000 0.0000 0.0000
Pt4 0.5000 0.5000 0.5000

=====

5.
Density functional theory data (GGA-PBE) for Mn2IrRh after structural relaxation.

Summary:
Space group: Cm (8)
ρ: 12.96 g/cm3
Density of states at the Fermi level: 9.71 states/eV/cell
Electronic total energy: -8.68 eV per atom
ΔH_f (0 K): -0.041 eV/atom
Spin magnetization: 0.76 μB/atom

a b c (Å): 8.7371 2.6640 4.5352
angles (deg): 90.00 100.41 90.00
Atoms (fractional coordinates):
Mn1 0.0000 0.0000 0.0000
Mn2 0.2505 0.0000 0.7307
Mn3 0.5000 0.5000 0.0000
Mn4 0.7505 0.5000 0.7307
Ir1 0.0038 0.5000 0.5136
Ir2 0.5038 0.0000 0.5136
Rh1 0.2501 0.5000 0.2232
Rh2 0.7501 0.0000 0.2232

=====

6.
Density functional theory data (GGA-PBE) for K2SiBi2 after structural relaxation.

Summary:
Space group: P4/mbm (127)
ρ: 4.97 g/cm3
Distance to the lowest polymorph of the same formula: 0.00 kJ per mole of atoms
Density of states at the Fermi level: 5.54 states/eV/cell
Electronic total energy: -3.11 eV per atom
Formation energy (no corrections): -32 meV per atom
Spin magnetization: 0.00 μB/atom

a b c (Å): 7.7875 7.7875 5.7810
angles (deg): 90.00 90.00 90.00
Atoms (fractional coordinates):
K1 0.1705 0.3295 0.0000
K2 0.3295 0.8295 0.0000
K3 0.6705 0.1705 0.0000
K4 0.8295 0.6705 0.0000
Si1 0.0000 0.0000 0.5000
Si2 0.5000 0.5000 0.5000
Bi1 0.1429 0.6429 0.5000
Bi2 0.3571 0.1429 0.5000
Bi3 0.6429 0.8571 0.5000
Bi4 0.8571 0.3571 0.5000